# ZrGa3F

Crystalline ZrGa3F at its relaxed geometry (PBE, Alexandria via LeMat-Bulk).

Cell lengths 5.3730, 5.3730, 5.3730 Å; angles 90.00, 90.00, 90.00 degrees
Atoms (fractional coordinates):
Zr  0.0000  0.0000  0.0000
Ga  0.0000  0.0000  0.5000
Ga  0.0000  0.5000  0.0000
Ga  0.5000  0.0000  0.0000
F  0.5000  0.5000  0.5000

- Energy above the most stable polymorph in this dataset: 4.66 eV per formula unit
- Formation energy (no corrections): 0.3674 eV per atom
- Total DFT energy (no corrections): -17.66 eV/cell


# TlSiBr4

Crystalline TlSiBr4 at its relaxed geometry (PBE, Alexandria via LeMat-Bulk).

Cell lengths 6.4194, 6.4194, 6.4194 Å; angles 60.00, 60.00, 60.00 degrees
Atoms (fractional coordinates):
Tl  0.0000  0.0000  0.0000
Si  0.2500  0.2500  0.2500
Br  0.1265  0.6245  0.6245
Br  0.6245  0.1265  0.6245
Br  0.6245  0.6245  0.1265
Br  0.6245  0.6245  0.6245

- Formation energy (no corrections): 0.5707 eV per atom
- Total DFT energy (no corrections): -11.06 eV/cell